Density functional theory data (GGA-PBE) for crystalline Zr6Zn3Ga at its relaxed geometry.

a b c (Å): 8.188 10.580 4.731
angles (deg): 90.00 90.00 90.00
Space group Pnnm (No. 58)
Inequivalent atoms, fractional coordinates:
Zr1 0.001 0.248 0.000 x4
Zr2 0.166 0.586 0.500 x4
Zr3 0.167 0.916 0.500 x4
Zn1 0.000 0.000 0.000 x2
Zn2 0.167 0.247 0.500 x4
Ga1 0.000 0.500 0.000 x2

Properties
crystal system	orthorhombic



Density functional theory data (GGA-PBE) for crystalline Zr7Zn2Ga2 at its relaxed geometry.

a b c (Å): 6.912 9.902 7.062
angles (deg): 90.00 90.00 90.00
Space group Cmmm (No. 65)
Inequivalent atoms, fractional coordinates:
Zr1 0.000 0.000 0.000 x2
Zr2 0.000 0.500 0.274 x4
Zr3 0.250 0.250 0.287 x8
Zn1 0.169 0.000 0.500 x4
Ga1 0.000 0.297 0.000 x4

Properties
crystal system	orthorhombic



Density functional theory data (GGA-PBE) for crystalline Zr2Zn2Ga at its relaxed geometry.

a b c (Å): 4.339 4.339 11.317
angles (deg): 90.00 90.00 90.00
Space group I4/mmm (No. 139)
Inequivalent atoms, fractional coordinates:
Zr1 0.000 0.500 0.250 x4
Zn1 0.000 0.000 0.100 x4
Ga1 0.000 0.000 0.500 x2

Properties
crystal system	tetragonal



Density functional theory data (GGA-PBE) for crystalline Zr2ZnGa2 at its relaxed geometry.

a b c (Å): 7.816 7.816 3.333
angles (deg): 90.00 90.00 90.00
Space group P4/mbm (No. 127)
Inequivalent atoms, fractional coordinates:
Zr1 0.136 0.364 0.000 x4
Zn1 0.000 0.000 0.000 x2
Ga1 0.169 0.669 0.500 x4

Properties
ΔE to the lowest computed polymorph	373	meV/atom
crystal system	tetragonal



Density functional theory data (GGA-PBE) for crystalline ZrZn3Ga at its relaxed geometry.

a b c (Å): 5.328 5.328 5.328
angles (deg): 90.00 90.00 90.00
Space group Pm-3m (No. 221)
Inequivalent atoms, fractional coordinates:
Zr1 0.000 0.000 0.000 x1
Zn1 0.000 0.000 0.500 x3
Ga1 0.500 0.500 0.500 x1

Properties
ΔE to the lowest computed polymorph	493	meV/atom
crystal system	cubic



Density functional theory data (GGA-PBE) for crystalline ZrZnGa2 at its relaxed geometry.

a b c (Å): 7.213 7.213 5.705
angles (deg): 90.00 90.00 90.00
Space group I-42d (No. 122)
Inequivalent atoms, fractional coordinates:
Zr1 0.000 0.000 0.000 x4
Zn1 0.000 0.000 0.500 x4
Ga1 0.215 0.250 0.625 x8

Properties
crystal system	tetragonal



| no. | E (hartree per atom) | energy of formation (eV per atom) |
| --- | --- | --- |
| 1 | -0.2181 | -0.1208 |
| 2 | -0.2276 | 0.0290 |
| 3 | -0.1583 | 0.2278 |
| 4 | -0.1850 | -0.1493 |
| 5 | -0.0789 | 0.9333 |
| 6 | -0.1524 | -0.1770 |